# MgW2Br (GGA-PBEsol, optimized geometry)
data_MgW2Br
_chemical_formula_sum 'Mg2 W4 Br2'
_cell_length_a 10.062
_cell_length_b 3.021
_cell_length_c 4.586
_cell_angle_alpha 90.00
_cell_angle_beta 99.37
_cell_angle_gamma 90.00
_space_group_name_H-M_alt 'C 1 2/m 1'
_space_group_IT_number 12
loop_
_space_group_symop_operation_xyz
'x,y,z'
'-x,-y,-z'
'-x,y,-z'
'x,-y,z'
'x+1/2,y+1/2,z'
'-x+1/2,-y+1/2,-z'
'-x+1/2,y+1/2,-z'
'x+1/2,-y+1/2,z'
loop_
_atom_site_label
_atom_site_fract_x
_atom_site_fract_y
_atom_site_fract_z
Mg1 0.000 0.000 0.000
W1 0.247 0.000 0.759
Br1 0.000 0.500 0.500
# final energy = -56.283 eV/cell
# energy relative to the elements, uncorrected = 0.77 eV/atom